(1)
TbPd4Pt2 after structural relaxation. Source: Alexandria via LeMat-Bulk, functional PBE.

Output
- calculated total energy (eV per atom) = -5.8162
- space-group type = P-1 (2)

abc: 5.666 5.656 6.320
angles: 131.91 75.68 122.12
Fractional coordinates of all 7 atoms:
Pd (0.000, 0.500, 0.000)
Pd (0.742, 0.242, 0.499)
Tb (0.000, 0.000, 0.000)
Pd (0.500, 0.000, 0.000)
Pd (0.258, 0.758, 0.501)
Pt (0.256, 0.259, 0.515)
Pt (0.744, 0.741, 0.485)

***

(2)
TbPd3Pt2 after structural relaxation. Source: Alexandria via LeMat-Bulk, functional PBE.

Output
- calculated total energy (eV per atom) = -5.8323
- space-group type = Cmcm (63)

abc: 5.288 5.680 7.618
angles: 111.89 90.00 90.00
Fractional coordinates of all 12 atoms:
Pt (0.500, 0.240, 0.000)
Pd (0.250, 0.159, 0.318)
Pd (0.750, 0.422, 0.339)
Pt (0.000, 0.240, 0.000)
Pd (0.250, 0.578, 0.661)
Tb (0.750, 0.343, 0.687)
Pt (0.000, 0.760, 0.000)
Pt (0.500, 0.760, 0.000)
Pd (0.250, 0.082, 0.661)
Pd (0.750, 0.918, 0.339)
Pd (0.750, 0.841, 0.682)
Tb (0.250, 0.657, 0.313)

***

(3)
TbPdPt3 after structural relaxation. Source: Alexandria via LeMat-Bulk, functional PBE.

Output
- calculated total energy (eV per atom) = -6.1509
- space-group type = Pmmn (59)

abc: 4.446 6.512 6.384
angles: 90.00 90.00 90.00
Fractional coordinates of all 10 atoms:
Pt (0.500, 0.198, 0.755)
Pt (0.000, 0.000, 0.952)
Pd (0.500, 0.500, 0.455)
Pd (0.000, 0.000, 0.545)
Tb (0.000, 0.500, 0.751)
Pt (0.500, 0.802, 0.755)
Pt (0.500, 0.500, 0.048)
Pt (0.000, 0.302, 0.245)
Tb (0.500, 0.000, 0.249)
Pt (0.000, 0.698, 0.245)

***

(4)
TbPd4Pt after structural relaxation. Source: Alexandria via LeMat-Bulk, functional PBE.

Output
- calculated total energy (eV per atom) = -5.7295
- space-group type = F-43m (216)

abc: 5.295 5.295 5.295
angles: 60.00 60.00 60.00
Fractional coordinates of all 6 atoms:
Pt (0.250, 0.250, 0.250)
Pd (0.624, 0.624, 0.624)
Pd (0.127, 0.624, 0.624)
Tb (0.000, 0.000, 0.000)
Pd (0.624, 0.127, 0.624)
Pd (0.624, 0.624, 0.127)

***

(5)
Tb8Te4PdPt3 after structural relaxation. Source: Alexandria via LeMat-Bulk, functional PBE.

Output
- uncorrected formation energy (eV/atom) = -1.227
- space-group type = R-3m (166)

abc: 8.311 8.785 8.310
angles: 118.23 120.00 90.00
Fractional coordinates of all 16 atoms:
Tb (0.734, 0.714, 0.974)
Tb (0.760, 0.286, 0.026)
Tb (0.761, 0.287, 0.521)
Pt (0.500, 0.500, 0.500)
Te (0.000, 0.000, 0.500)
Tb (0.738, 0.712, 0.476)
Te (0.000, 0.000, 0.000)
Pd (0.000, 0.500, 0.000)
Pt (0.000, 0.500, 0.500)
Te (0.500, 0.000, 0.000)
Pt (0.500, 0.500, 0.000)
Tb (0.239, 0.713, 0.479)
Tb (0.262, 0.288, 0.524)
Tb (0.266, 0.286, 0.026)
Tb (0.240, 0.714, 0.974)
Te (0.500, 0.000, 0.500)

***

(6)
TbThPdPt after structural relaxation. Source: Alexandria via LeMat-Bulk, functional PBE.

Output
- calculated total energy (eV per atom) = -6.7562
- space-group type = F-43m (216)

abc: 5.062 5.062 5.062
angles: 60.00 60.00 60.00
Fractional coordinates of all 4 atoms:
Pt (0.250, 0.250, 0.250)
Th (0.000, 0.000, 0.000)
Tb (0.500, 0.500, 0.500)
Pd (0.750, 0.750, 0.750)

***

(7)
TbThPdPt after structural relaxation. Source: Alexandria via LeMat-Bulk, functional PBE.

Output
- calculated total energy (eV per atom) = -6.8915
- space-group type = Amm2 (38)

abc: 3.822 4.487 5.846
angles: 90.00 109.08 90.00
Fractional coordinates of all 4 atoms:
Tb (0.139, 0.000, 0.277)
Pt (0.406, 0.000, 0.813)
Th (0.864, 0.500, 0.729)
Pd (0.590, 0.500, 0.181)

***

(8)
TbTmPdPt after structural relaxation. Source: Alexandria via LeMat-Bulk, functional PBE.

Output
- calculated total energy (eV per atom) = -6.1701
- space-group type = F-43m (216)

abc: 4.930 4.930 4.930
angles: 60.00 60.00 60.00
Fractional coordinates of all 4 atoms:
Pd (0.500, 0.500, 0.500)
Pt (0.000, 0.000, 0.000)
Tb (0.250, 0.250, 0.250)
Tm (0.750, 0.750, 0.750)

***

(9)
TbTmPdPt after structural relaxation. Source: Alexandria via LeMat-Bulk, functional PBE.

Output
- calculated total energy (eV per atom) = -6.2037
- space-group type = Amm2 (38)

abc: 3.746 4.502 5.557
angles: 90.00 109.70 90.00
Fractional coordinates of all 4 atoms:
Pt (0.587, 0.500, 0.173)
Tm (0.863, 0.500, 0.726)
Pd (0.412, 0.000, 0.824)
Tb (0.138, 0.000, 0.277)

***

(10)
TbYPdPt after structural relaxation. Source: Alexandria via LeMat-Bulk, functional PBE.

Output
- calculated total energy (eV per atom) = -6.6293
- space-group type = F-43m (216)

abc: 4.969 4.969 4.969
angles: 60.00 60.00 60.00
Fractional coordinates of all 4 atoms:
Tb (0.000, 0.000, 0.000)
Y (0.500, 0.500, 0.500)
Pd (0.250, 0.250, 0.250)
Pt (0.750, 0.750, 0.750)

***

(11)
TbYPdPt after structural relaxation. Source: Alexandria via LeMat-Bulk, functional PBE.

Output
- calculated total energy (eV per atom) = -6.6739
- space-group type = Amm2 (38)

abc: 3.792 4.506 5.614
angles: 90.00 109.74 90.00
Fractional coordinates of all 4 atoms:
Y (0.862, 0.500, 0.724)
Pt (0.414, 0.000, 0.827)
Tb (0.138, 0.000, 0.275)
Pd (0.587, 0.500, 0.173)

***

(12)
TbZrPdPt after structural relaxation. Source: Alexandria via LeMat-Bulk, functional PBE.

Output
- calculated total energy (eV per atom) = -6.9644
- space-group type = F-43m (216)

abc: 4.850 4.850 4.850
angles: 60.00 60.00 60.00
Fractional coordinates of all 4 atoms:
Pt (0.750, 0.750, 0.750)
Zr (0.500, 0.500, 0.500)
Tb (0.000, 0.000, 0.000)
Pd (0.250, 0.250, 0.250)

***

(13)
Tc2Pd2Pt5 after structural relaxation. Source: Alexandria via LeMat-Bulk, functional PBE.

Output
- calculated total energy (eV per atom) = -6.7637
- space-group type = C2/m (12)

abc: 4.390 7.780 7.176
angles: 139.79 90.00 106.39
Fractional coordinates of all 9 atoms:
Pt (0.103, 0.207, 0.526)
Pd (0.766, 0.532, 0.902)
Pd (0.234, 0.468, 0.098)
Pt (0.897, 0.793, 0.474)
Tc (0.688, 0.375, 0.418)
Pt (0.000, 0.000, 0.000)
Pt (0.427, 0.855, 0.125)
Tc (0.312, 0.625, 0.582)
Pt (0.573, 0.145, 0.875)

***

(14)
TcPd2Pt4 after structural relaxation. Source: Alexandria via LeMat-Bulk, functional PBE.

Output
- calculated total energy (eV per atom) = -6.3755
- space-group type = Cmmm (65)

abc: 2.747 3.937 10.744
angles: 90.00 97.35 90.00
Fractional coordinates of all 7 atoms:
Pd (0.804, 0.500, 0.608)
Pt (0.937, 0.500, 0.874)
Pd (0.196, 0.500, 0.392)
Pt (0.063, 0.500, 0.126)
Pt (0.630, 0.000, 0.260)
Tc (0.500, 0.000, 0.000)
Pt (0.370, 0.000, 0.740)

***

(15)
TcPdPt5 after structural relaxation. Source: Alexandria via LeMat-Bulk, functional PBE.

Output
- calculated total energy (eV per atom) = -6.4580
- space-group type = P4/mmm (123)

abc: 3.878 3.878 7.722
angles: 90.00 90.00 90.00
Fractional coordinates of all 7 atoms:
Pt (0.500, 0.500, 0.000)
Pt (0.000, 0.500, 0.728)
Tc (0.000, 0.000, 0.500)
Pt (0.500, 0.000, 0.728)
Pt (0.500, 0.000, 0.272)
Pt (0.000, 0.500, 0.272)
Pd (0.000, 0.000, 0.000)

***

(16)
TcPd4Pt2 after structural relaxation. Source: Alexandria via LeMat-Bulk, functional PBE.

Output
- calculated total energy (eV per atom) = -6.0237
- space-group type = Cmmm (65)

abc: 2.690 4.636 9.220
angles: 104.56 90.00 90.00
Fractional coordinates of all 7 atoms:
Pd (0.500, 0.632, 0.264)
Pd (0.000, 0.075, 0.151)
Pd (0.000, 0.925, 0.849)
Pt (0.500, 0.785, 0.570)
Pd (0.500, 0.368, 0.736)
Tc (0.000, 0.500, 0.000)
Pt (0.500, 0.215, 0.430)

***

(17)
TcPd2Pt8 after structural relaxation. Source: Alexandria via LeMat-Bulk, functional PBE.

Output
- calculated total energy (eV per atom) = -6.0742
- space-group type = C2/m (12)

abc: 3.957 7.353 7.632
angles: 114.68 98.06 104.31
Fractional coordinates of all 11 atoms:
Pt (0.985, 0.086, 0.790)
Pt (0.015, 0.914, 0.210)
Pd (0.681, 0.681, 0.362)
Pd (0.319, 0.319, 0.638)
Pt (0.694, 0.377, 0.000)
Pt (0.306, 0.623, 0.000)
Pt (0.302, 0.802, 0.605)
Pt (0.195, 0.296, 0.210)
Tc (0.500, 0.000, 0.000)
Pt (0.698, 0.198, 0.395)
Pt (0.805, 0.704, 0.790)

***

(18)
TcPdPt4 after structural relaxation. Source: Alexandria via LeMat-Bulk, functional PBE.

Output
- calculated total energy (eV per atom) = -6.7334
- space-group type = Pmmm (47)

abc: 2.767 3.965 8.380
angles: 90.00 90.00 90.00
Fractional coordinates of all 6 atoms:
Pt (0.500, 0.000, 0.829)
Pt (0.000, 0.500, 0.661)
Tc (0.500, 0.000, 0.500)
Pd (0.000, 0.500, 0.000)
Pt (0.000, 0.500, 0.339)
Pt (0.500, 0.000, 0.171)

***

(19)
TcPdPt after structural relaxation. Source: Alexandria via LeMat-Bulk, functional PBE.

Output
- calculated total energy (eV per atom) = -6.4978
- space-group type = P3m1 (156)

abc: 3.723 3.723 4.444
angles: 90.00 90.00 120.00
Fractional coordinates of all 3 atoms:
Pd (0.000, 0.000, 0.022)
Tc (0.667, 0.333, 0.348)
Pt (0.333, 0.667, 0.630)

***

(20)
Tc2PdPt after structural relaxation. Source: Alexandria via LeMat-Bulk, functional PBE.

Output
- calculated total energy (eV per atom) = -6.7621
- space-group type = I-42d (122)

abc: 5.613 5.613 6.859
angles: 65.85 65.85 90.00
Fractional coordinates of all 8 atoms:
Pt (0.000, 0.000, 0.000)
Pd (0.500, 0.500, 0.000)
Tc (0.627, 0.125, 0.250)
Tc (0.875, 0.877, 0.750)
Pd (0.250, 0.750, 0.500)
Tc (0.375, 0.373, 0.750)
Tc (0.123, 0.625, 0.250)
Pt (0.750, 0.250, 0.500)

***

(21)
Tc2PdPt after structural relaxation. Source: Alexandria via LeMat-Bulk, functional PBE.

Output
- calculated total energy (eV per atom) = -7.5818
- space-group type = Fm-3m (225)

abc: 4.420 4.420 4.420
angles: 60.00 60.00 60.00
Fractional coordinates of all 4 atoms:
Pd (0.000, 0.000, 0.000)
Pt (0.500, 0.500, 0.500)
Tc (0.750, 0.750, 0.750)
Tc (0.250, 0.250, 0.250)

***

(22)
TcPd3Pt7 after structural relaxation. Source: Alexandria via LeMat-Bulk, functional PBE.

Output
- calculated total energy (eV per atom) = -5.9599
- space-group type = C2/m (12)

abc: 4.774 6.739 6.739
angles: 91.32 110.80 110.80
Fractional coordinates of all 11 atoms:
Pt (0.665, 0.912, 0.419)
Pt (0.665, 0.419, 0.912)
Pt (0.335, 0.088, 0.581)
Pt (0.821, 0.823, 0.823)
Tc (0.500, 0.500, 0.500)
Pd (0.000, 0.233, 0.767)
Pt (0.335, 0.581, 0.088)
Pt (0.000, 0.500, 0.500)
Pd (0.000, 0.767, 0.233)
Pd (0.500, 0.000, 0.000)
Pt (0.179, 0.177, 0.177)

***

(23)
TcPd3Pt6 after structural relaxation. Source: Alexandria via LeMat-Bulk, functional PBE.

Output
- calculated total energy (eV per atom) = -5.9998
- space-group type = C2/m (12)

abc: 7.431 5.203 5.203
angles: 60.80 70.22 70.22
Fractional coordinates of all 10 atoms:
Pd (0.000, 0.000, 0.000)
Pt (0.308, 0.069, 0.564)
Tc (0.500, 0.500, 0.500)
Pt (0.308, 0.564, 0.069)
Pt (0.902, 0.368, 0.368)
Pd (0.692, 0.931, 0.931)
Pt (0.098, 0.632, 0.632)
Pd (0.308, 0.069, 0.069)
Pt (0.692, 0.436, 0.931)
Pt (0.692, 0.931, 0.436)

***

(24)
TcPd5Pt4 after structural relaxation. Source: Alexandria via LeMat-Bulk, functional PBE.

Output
- calculated total energy (eV per atom) = -6.0848
- space-group type = P4/mmm (123)

abc: 2.764 2.764 20.026
angles: 90.00 90.00 90.00
Fractional coordinates of all 10 atoms:
Pd (0.500, 0.500, 0.299)
Pt (0.000, 0.000, 0.600)
Pt (0.000, 0.000, 0.198)
Tc (0.000, 0.000, 0.000)
Pd (0.500, 0.500, 0.701)
Pt (0.000, 0.000, 0.400)
Pd (0.500, 0.500, 0.905)
Pd (0.500, 0.500, 0.500)
Pd (0.500, 0.500, 0.095)
Pt (0.000, 0.000, 0.802)

***

(25)
TcPd6Pt3 after structural relaxation. Source: Alexandria via LeMat-Bulk, functional PBE.

Output
- calculated total energy (eV per atom) = -5.4951
- space-group type = R3m (160)

abc: 2.716 9.561 9.561
angles: 119.11 95.43 95.43
Fractional coordinates of all 10 atoms:
Pd (0.641, 0.282, 0.282)
Pt (0.101, 0.000, 0.235)
Pd (0.358, 0.718, 0.000)
Pd (0.358, 0.000, 0.718)
Pt (0.866, 0.765, 0.765)
Pd (0.728, 0.000, 0.476)
Tc (0.528, 0.000, 0.000)
Pd (0.728, 0.476, 0.000)
Pt (0.101, 0.235, 0.000)
Pd (0.252, 0.524, 0.524)

***

(26)
TcPdPt after structural relaxation. Source: Alexandria via LeMat-Bulk, functional PBE.

Output
- calculated total energy (eV per atom) = -7.2692
- space-group type = Cmcm (63)

abc: 3.983 3.906 6.181
angles: 90.00 108.79 90.00
Fractional coordinates of all 6 atoms:
Pt (0.078, 0.250, 0.156)
Pd (0.248, 0.750, 0.495)
Pd (0.752, 0.250, 0.505)
Pt (0.922, 0.750, 0.844)
Tc (0.574, 0.750, 0.148)
Tc (0.426, 0.250, 0.852)